(1)
{"formula": "Ho14TmZr", "functional": "PBE", "state": "optimized geometry", "lattice_angstrom": [[-2.503, 1.053, -6.450], [-6.531, -0.652, 2.428], [-0.332, 9.714, 1.715]], "species": ["Ho", "Ho", "Ho", "Ho", "Ho", "Ho", "Ho", "Ho", "Ho", "Ho", "Ho", "Ho", "Ho", "Ho", "Tm", "Zr"], "frac_coords": [[0.375, 0.625, 0.500], [0.875, 0.125, 0.500], [0.875, 0.625, 0.000], [0.875, 0.625, 0.500], [0.375, 0.125, 0.000], [0.375, 0.125, 0.500], [0.629, 0.879, 0.755], [0.629, 0.879, 0.245], [0.121, 0.371, 0.755], [0.121, 0.371, 0.245], [0.121, 0.879, 0.755], [0.121, 0.879, 0.245], [0.629, 0.371, 0.755], [0.629, 0.371, 0.245], [0.375, 0.625, 0.000], [0.875, 0.125, 0.000]], "crystal_system": "tetragonal", "n_ef_per_ev_cell": 18.65, "e_form_ev_per_atom": 0.0347, "total_energy_ev_per_atom": -4.7846}


(2)
{"formula": "Ho4Tm5Zr", "functional": "PBE", "state": "optimized geometry", "lattice_angstrom": [[5.774, 0.000, 0.000], [2.887, 7.321, 0.000], [2.887, 0.000, 7.321]], "species": ["Ho", "Ho", "Ho", "Ho", "Tm", "Tm", "Tm", "Tm", "Tm", "Zr"], "frac_coords": [[0.440, 0.321, 0.679], [0.761, 0.679, 0.679], [0.119, 0.321, 0.321], [0.440, 0.679, 0.321], [0.781, 0.370, 0.000], [0.151, 0.000, 0.630], [0.782, 0.000, 0.370], [0.151, 0.630, 0.000], [0.675, 0.000, 0.000], [0.210, 0.000, 0.000]], "crystal_system": "tetragonal", "n_ef_per_ev_cell": 13.97, "e_form_ev_per_atom": 0.2517, "total_energy_ev_per_atom": -4.6699}


(3)
{"formula": "Ho4TmZr", "functional": "PBE", "state": "optimized geometry", "lattice_angstrom": [[3.369, 0.000, 0.000], [0.000, 7.920, -0.005], [0.000, 0.009, 7.920]], "species": ["Ho", "Ho", "Ho", "Ho", "Tm", "Zr"], "frac_coords": [[0.500, 0.256, 0.744], [0.000, 0.770, 0.770], [0.000, 0.230, 0.230], [0.500, 0.744, 0.256], [0.000, 0.500, 0.500], [0.500, 0.000, 0.000]], "crystal_system": "orthorhombic", "n_ef_per_ev_cell": 7.50, "e_form_ev_per_atom": 0.6583, "total_energy_ev_per_atom": -4.5635}


(4)
{"formula": "Ho3Tm8Zr", "functional": "PBE", "state": "optimized geometry", "lattice_angstrom": [[6.561, 0.000, -3.712], [-2.100, 6.216, -3.712], [0.806, 1.123, 9.080]], "species": ["Ho", "Ho", "Ho", "Tm", "Tm", "Tm", "Tm", "Tm", "Tm", "Tm", "Tm", "Zr"], "frac_coords": [[0.250, 0.750, 0.500], [0.500, 0.500, 0.000], [0.750, 0.250, 0.500], [0.879, 0.361, 0.240], [0.361, 0.361, 0.240], [0.121, 0.121, 0.760], [0.639, 0.121, 0.760], [0.361, 0.879, 0.240], [0.879, 0.879, 0.240], [0.639, 0.639, 0.760], [0.121, 0.639, 0.760], [0.000, 0.000, 0.000]], "crystal_system": "tetragonal", "n_ef_per_ev_cell": 12.79, "e_form_ev_per_atom": 0.7372, "total_energy_ev_per_atom": -4.1006}